Entry from Alexandria via LeMat-Bulk: Tm5SnPd4 after structural relaxation (PBE-GGA).

a = 3.462 Å, b = 3.462 Å, c = 18.177 Å
α = 90.00°, β = 90.00°, γ = 90.00°
Atoms (fractional coordinates):
Tm  0.000  0.000  0.000
Tm  0.000  0.000  0.192
Tm  0.000  0.000  0.382
Tm  0.000  0.000  0.618
Tm  0.000  0.000  0.808
Sn  0.500  0.500  0.500
Pd  0.500  0.500  0.095
Pd  0.500  0.500  0.287
Pd  0.500  0.500  0.713
Pd  0.500  0.500  0.905

## Properties
formation energy: -8.67 eV per formula unit


Entry from Alexandria via LeMat-Bulk: Tm8Sn2Pd after structural relaxation (PBE-GGA).

a = 9.747 Å, b = 9.747 Å, c = 6.632 Å
α = 102.78°, β = 102.78°, γ = 29.26°
Atoms (fractional coordinates):
Tm  0.018  0.018  0.275
Tm  0.216  0.216  0.823
Tm  0.353  0.353  0.495
Tm  0.408  0.408  0.026
Tm  0.592  0.592  0.974
Tm  0.647  0.647  0.505
Tm  0.784  0.784  0.177
Tm  0.982  0.982  0.725
Sn  0.183  0.183  0.265
Sn  0.817  0.817  0.735
Pd  0.500  0.500  0.500

## Properties
formation energy: -4.61 eV per formula unit


Entry from Alexandria via LeMat-Bulk: Tm2SnPd after structural relaxation (PBE-GGA).

a = 6.030 Å, b = 4.374 Å, c = 7.942 Å
α = 90.00°, β = 111.37°, γ = 90.00°
Atoms (fractional coordinates):
Tm  0.202  0.250  0.444
Tm  0.230  0.250  0.906
Tm  0.770  0.750  0.094
Tm  0.798  0.750  0.556
Sn  0.320  0.750  0.207
Sn  0.680  0.250  0.793
Pd  0.341  0.750  0.705
Pd  0.659  0.250  0.295

## Properties
formation energy: -3.28 eV per formula unit